Below is a relaxed structure of AlIn2Hg, with properties calculated at the PBE level.

abc: 5.546 3.157 5.797
angles: 75.86 90.00 90.00
Positions (direct):
In: 0.500 0.237 0.366
In: 0.000 0.006 0.883
Hg: 0.500 0.527 0.845
Al: 0.000 0.730 0.406

Calculated values
SG: Pm
V (Å³/f.u.): 98.41
E_form (meV per atom): 125.0
D(E_F) (states/eV/cell): 1.25
Spin magnetization (μB per cell): 0.00
Relative energy among the computed polymorphs (eV/atom): 0.0323